Computed, not measured: a crystal of Li2FeO2F relaxed with PBEsol at the meta-GGA SCAN level of DFT.

Properties
Theoretical density (kg/m³): 3881
Electronic total energy (eV for the cell shown): -104.54
Uncorrected formation energy (eV/atom): -2.23
SG: Cc (9)
Energy above the most stable polymorph in this dataset (meV per atom): 90
Calculated volume (Å³/f.u.): 52
Magnetization (Bohr magnetons per cell): 10.01

Unit cell a=4.989 b=4.989 c=5.112 alpha=101.72 beta=101.72 gamma=117.95
Fractional coordinates of all 12 atoms:
1 Li 0.082 0.918 0.500
2 Li 0.270 0.768 0.976
3 Li 0.768 0.270 0.476
4 Li 0.918 0.082 0.000
5 Fe 0.447 0.652 0.478
6 Fe 0.652 0.447 0.978
7 O 0.034 0.523 0.237
8 O 0.523 0.034 0.737
9 O 0.668 0.807 0.225
10 O 0.807 0.668 0.725
11 F 0.182 0.350 0.715
12 F 0.350 0.182 0.215

Computed, not measured: a crystal of Ta2CuRu relaxed with PBEsol at the meta-GGA SCAN level of DFT.

Properties
Theoretical density (kg/m³): 14542
Electronic total energy (eV for the cell shown): -183.67
SG: Pmmm (47)
DFT formation energy (eV/atom): -0.121
Calculated volume (Å³/f.u.): 60
Magnetization (Bohr magnetons per cell): 0.00

Unit cell a=2.998 b=3.601 c=5.569 alpha=90.00 beta=90.00 gamma=90.00
Fractional coordinates of all 4 atoms:
1 Ta 0.000 0.000 0.250
2 Ta 0.000 0.000 0.750
3 Cu 0.500 0.500 0.000
4 Ru 0.500 0.500 0.500

Computed, not measured: a crystal of Be2InW relaxed with PBEsol at the meta-GGA SCAN level of DFT.

Properties
Theoretical density (kg/m³): 9894
Electronic total energy (eV for the cell shown): -110.28
SG: Cm (8)
DFT formation energy (eV/atom): 0.374
Calculated volume (Å³/f.u.): 53
Magnetization (Bohr magnetons per cell): 0.00

Unit cell a=4.859 b=4.859 c=4.310 alpha=108.04 beta=108.04 gamma=33.50
Fractional coordinates of all 4 atoms:
1 Be 0.000 0.000 0.000
2 Be 0.709 0.709 0.303
3 In 0.236 0.236 0.810
4 W 0.456 0.456 0.454

Computed, not measured: a crystal of InCuPb2 relaxed with PBEsol at the meta-GGA SCAN level of DFT.

Properties
Theoretical density (kg/m³): 10083
Electronic total energy (eV for the cell shown): -199.50
SG: Cm (8)
DFT formation energy (eV/atom): 0.163
Calculated volume (Å³/f.u.): 98
Magnetization (Bohr magnetons per cell): 0.00

Unit cell a=5.572 b=5.572 c=6.156 alpha=117.11 beta=117.11 gamma=35.56
Fractional coordinates of all 4 atoms:
1 In 0.000 0.000 0.000
2 Cu 0.349 0.349 0.626
3 Pb 0.625 0.625 0.608
4 Pb 0.797 0.797 0.235

Computed, not measured: a crystal of AlInSeI2 relaxed with PBEsol at the meta-GGA SCAN level of DFT.

Properties
Theoretical density (kg/m³): 5193
Electronic total energy (eV for the cell shown): -136.41
Uncorrected formation energy (eV/atom): -0.34
SG: P4/mmm (123)
Calculated volume (Å³/f.u.): 152
Magnetization (Bohr magnetons per cell): 0.00

Unit cell a=5.637 b=5.637 c=4.777 alpha=90.00 beta=90.00 gamma=90.00
Fractional coordinates of all 5 atoms:
1 Al 0.000 0.000 0.000
2 In 0.500 0.500 0.500
3 Se 0.000 0.000 0.500
4 I 0.000 0.500 0.000
5 I 0.500 0.000 0.000

Computed, not measured: a crystal of Zn2CrRe relaxed with PBEsol at the meta-GGA SCAN level of DFT.

Properties
Theoretical density (kg/m³): 11353
Electronic total energy (eV for the cell shown): -116.02
SG: Cmm2 (35)
DFT formation energy (eV/atom): 0.122
Calculated volume (Å³/f.u.): 54
Magnetization (Bohr magnetons per cell): 0.00

Unit cell a=2.606 b=2.606 c=8.536 alpha=90.00 beta=90.00 gamma=111.39
Fractional coordinates of all 4 atoms:
1 Zn 0.000 0.000 0.000
2 Zn 0.500 0.500 0.257
3 Cr 0.000 0.000 0.502
4 Re 0.500 0.500 0.735